(1)
{"formula": "HoLuGaAg", "functional": "GGA-PBE", "state": "relaxed", "lattice": [[0.000, 3.568, 3.568], [3.568, 0.000, 3.568], [3.568, 3.568, 0.000]], "species": ["Ho", "Lu", "Ga", "Ag"], "frac_coords": [[0.000, 0.000, 0.000], [0.500, 0.500, 0.500], [0.250, 0.250, 0.250], [0.750, 0.750, 0.750]], "e_form_ev_per_atom": -0.467, "m_tot_mub_per_atom": 0.000, "total_energy_ev_per_atom": -4.211}

(2)
{"formula": "HoMgGaAg", "functional": "GGA-PBE", "state": "relaxed", "lattice": [[0.000, 3.457, 3.457], [3.457, 0.000, 3.457], [3.457, 3.457, 0.000]], "species": ["Ho", "Mg", "Ga", "Ag"], "frac_coords": [[0.000, 0.000, 0.000], [0.500, 0.500, 0.500], [0.250, 0.250, 0.250], [0.750, 0.750, 0.750]], "e_form_ev_per_atom": -0.408, "m_tot_mub_per_atom": 0.000, "total_energy_ev_per_atom": -3.421}

(3)
{"formula": "NaHoGaAg", "functional": "GGA-PBE", "state": "relaxed", "lattice": [[0.000, 3.540, 3.540], [3.540, 0.000, 3.540], [3.540, 3.540, 0.000]], "species": ["Na", "Ho", "Ga", "Ag"], "frac_coords": [[0.000, 0.000, 0.000], [0.500, 0.500, 0.500], [0.250, 0.250, 0.250], [0.750, 0.750, 0.750]], "e_form_ev_per_atom": -0.184, "m_tot_mub_per_atom": 0.000, "total_energy_ev_per_atom": -3.127}

(4)
{"formula": "NdHoGaAg", "functional": "GGA-PBE", "state": "relaxed", "lattice": [[0.000, 3.672, 3.672], [3.672, 0.000, 3.672], [3.672, 3.672, 0.000]], "species": ["Nd", "Ho", "Ga", "Ag"], "frac_coords": [[0.000, 0.000, 0.000], [0.500, 0.500, 0.500], [0.750, 0.750, 0.750], [0.250, 0.250, 0.250]], "e_form_ev_per_atom": -0.425, "m_tot_mub_per_atom": 0.001, "total_energy_ev_per_atom": -4.231}

(5)
{"formula": "HoGaNiAg", "functional": "GGA-PBE", "state": "relaxed", "lattice": [[0.000, 3.289, 3.289], [3.289, 0.000, 3.289], [3.289, 3.289, 0.000]], "species": ["Ho", "Ga", "Ni", "Ag"], "frac_coords": [[0.000, 0.000, 0.000], [0.500, 0.500, 0.500], [0.750, 0.750, 0.750], [0.250, 0.250, 0.250]], "e_form_ev_per_atom": -0.298, "m_tot_mub_per_atom": 0.000, "total_energy_ev_per_atom": -4.358}

(6)
{"formula": "HoGaAg2O4", "functional": "GGA-PBE", "state": "relaxed", "lattice": [[5.594, 0.000, 0.000], [0.000, 3.271, 0.000], [-2.454, 0.000, 5.825]], "species": ["Ho", "Ga", "Ag", "Ag", "O", "O", "O", "O"], "frac_coords": [[0.000, 0.000, 0.000], [0.500, 0.500, 0.000], [0.000, 0.500, 0.500], [0.500, 0.000, 0.500], [0.271, 0.000, 0.808], [0.279, 0.500, 0.180], [0.721, 0.500, 0.820], [0.729, 0.000, 0.192]], "m_tot_mub_per_atom": 0.000, "total_energy_ev_per_atom": -5.703}

(7)
{"formula": "HoPaGaAg", "functional": "GGA-PBE", "state": "relaxed", "lattice": [[0.000, 3.608, 3.608], [3.608, 0.000, 3.608], [3.608, 3.608, 0.000]], "species": ["Ho", "Pa", "Ga", "Ag"], "frac_coords": [[0.000, 0.000, 0.000], [0.500, 0.500, 0.500], [0.250, 0.250, 0.250], [0.750, 0.750, 0.750]], "e_form_ev_per_atom": -0.077, "m_tot_mub_per_atom": 0.418, "total_energy_ev_per_atom": -5.065}

(8)
{"formula": "Ho2Ga4AgPd3", "functional": "GGA-PBE", "state": "relaxed", "lattice": [[4.053, 0.000, 0.000], [0.000, 4.053, 0.000], [0.000, 0.000, 11.478]], "species": ["Ho", "Ho", "Ga", "Ga", "Ga", "Ga", "Ag", "Pd", "Pd", "Pd"], "frac_coords": [[0.000, 0.500, 0.244], [0.500, 0.000, 0.756], [0.000, 0.000, 0.000], [0.000, 0.500, 0.642], [0.500, 0.000, 0.358], [0.500, 0.500, 0.000], [0.000, 0.000, 0.500], [0.000, 0.500, 0.858], [0.500, 0.000, 0.142], [0.500, 0.500, 0.500]], "e_form_ev_per_atom": -0.667, "m_tot_mub_per_atom": 0.000, "total_energy_ev_per_atom": -4.636}

(9)
{"formula": "HoGaAgPd", "functional": "GGA-PBE", "state": "relaxed", "lattice": [[0.000, 3.357, 3.357], [3.357, 0.000, 3.357], [3.357, 3.357, 0.000]], "species": ["Ho", "Ga", "Ag", "Pd"], "frac_coords": [[0.000, 0.000, 0.000], [0.500, 0.500, 0.500], [0.250, 0.250, 0.250], [0.750, 0.750, 0.750]], "e_form_ev_per_atom": -0.534, "m_tot_mub_per_atom": 0.000, "total_energy_ev_per_atom": -4.446}

(10)
{"formula": "HoGa2AgPd2", "functional": "GGA-PBE", "state": "relaxed", "lattice": [[4.430, 0.000, 0.000], [-2.215, 3.836, 0.000], [0.000, 0.000, 6.392]], "species": ["Ho", "Ga", "Ga", "Ag", "Pd", "Pd"], "frac_coords": [[0.000, 0.000, 0.000], [0.333, 0.667, 0.709], [0.667, 0.333, 0.291], [0.000, 0.000, 0.500], [0.333, 0.667, 0.278], [0.667, 0.333, 0.722]], "e_form_ev_per_atom": -0.630, "m_tot_mub_per_atom": 0.000, "total_energy_ev_per_atom": -4.608}

(11)
{"formula": "Ho2Ga2AgPd5", "functional": "GGA-PBE", "state": "relaxed", "lattice": [[9.751, 0.000, 0.000], [0.000, 9.751, 0.000], [0.000, 0.000, 3.794]], "species": ["Ho", "Ho", "Ho", "Ho", "Ga", "Ga", "Ga", "Ga", "Ag", "Ag", "Pd", "Pd", "Pd", "Pd", "Pd", "Pd", "Pd", "Pd", "Pd", "Pd"], "frac_coords": [[0.177, 0.323, 0.000], [0.323, 0.823, 0.000], [0.677, 0.177, 0.000], [0.823, 0.677, 0.000], [0.121, 0.621, 0.000], [0.379, 0.121, 0.000], [0.621, 0.879, 0.000], [0.879, 0.379, 0.000], [0.000, 0.000, 0.000], [0.500, 0.500, 0.000], [0.000, 0.500, 0.500], [0.067, 0.792, 0.500], [0.208, 0.067, 0.500], [0.292, 0.567, 0.500], [0.433, 0.292, 0.500], [0.500, 0.000, 0.500], [0.567, 0.708, 0.500], [0.708, 0.433, 0.500], [0.792, 0.933, 0.500], [0.933, 0.208, 0.500]], "e_form_ev_per_atom": -0.664, "m_tot_mub_per_atom": 0.000, "total_energy_ev_per_atom": -5.066}

(12)
{"formula": "Ho4GaAg2Pd", "functional": "GGA-PBE", "state": "relaxed", "lattice": [[2.527, 1.459, 8.246], [-2.527, 1.459, 8.246], [0.000, -2.917, 8.246]], "species": ["Ho", "Ho", "Ho", "Ho", "Ga", "Ag", "Ag", "Pd"], "frac_coords": [[0.122, 0.122, 0.122], [0.373, 0.373, 0.373], [0.627, 0.627, 0.627], [0.878, 0.878, 0.878], [0.500, 0.500, 0.500], [0.246, 0.246, 0.246], [0.754, 0.754, 0.754], [0.000, 0.000, 0.000]], "e_form_ev_per_atom": -0.541, "m_tot_mub_per_atom": 0.000, "total_energy_ev_per_atom": -4.570}

(13)
{"formula": "PmHoGaAg", "functional": "GGA-PBE", "state": "relaxed", "lattice": [[0.000, 3.657, 3.657], [3.657, 0.000, 3.657], [3.657, 3.657, 0.000]], "species": ["Pm", "Ho", "Ga", "Ag"], "frac_coords": [[0.000, 0.000, 0.000], [0.500, 0.500, 0.500], [0.750, 0.750, 0.750], [0.250, 0.250, 0.250]], "e_form_ev_per_atom": -0.435, "m_tot_mub_per_atom": 0.000, "total_energy_ev_per_atom": -4.237}

(14)
{"formula": "Pr2HoGa2Ag2", "functional": "GGA-PBE", "state": "relaxed", "lattice": [[2.316, 1.337, 9.263], [-2.316, 1.337, 9.263], [0.000, -2.675, 9.263]], "species": ["Pr", "Pr", "Ho", "Ga", "Ga", "Ag", "Ag"], "frac_coords": [[0.124, 0.124, 0.124], [0.876, 0.876, 0.876], [0.000, 0.000, 0.000], [0.266, 0.266, 0.266], [0.734, 0.734, 0.734], [0.390, 0.390, 0.390], [0.610, 0.610, 0.610]], "e_form_ev_per_atom": -0.374, "m_tot_mub_per_atom": 0.000, "total_energy_ev_per_atom": -4.073}

(15)
{"formula": "PrHo2Ga2Ag2", "functional": "GGA-PBE", "state": "relaxed", "lattice": [[2.331, 1.346, 8.949], [-2.331, 1.346, 8.949], [0.000, -2.692, 8.949]], "species": ["Pr", "Ho", "Ho", "Ga", "Ga", "Ag", "Ag"], "frac_coords": [[0.000, 0.000, 0.000], [0.127, 0.127, 0.127], [0.873, 0.873, 0.873], [0.254, 0.254, 0.254], [0.746, 0.746, 0.746], [0.407, 0.407, 0.407], [0.593, 0.593, 0.593]], "e_form_ev_per_atom": -0.378, "m_tot_mub_per_atom": 0.000, "total_energy_ev_per_atom": -4.048}

(16)
{"formula": "HoGaAgPt", "functional": "GGA-PBE", "state": "relaxed", "lattice": [[0.000, 3.357, 3.357], [3.357, 0.000, 3.357], [3.357, 3.357, 0.000]], "species": ["Ho", "Ga", "Ag", "Pt"], "frac_coords": [[0.000, 0.000, 0.000], [0.500, 0.500, 0.500], [0.250, 0.250, 0.250], [0.750, 0.750, 0.750]], "e_form_ev_per_atom": -0.636, "m_tot_mub_per_atom": 0.000, "total_energy_ev_per_atom": -4.761}

(17)
{"formula": "HoPuGaAg", "functional": "GGA-PBE", "state": "relaxed", "lattice": [[0.000, 3.622, 3.622], [3.622, 0.000, 3.622], [3.622, 3.622, 0.000]], "species": ["Ho", "Pu", "Ga", "Ag"], "frac_coords": [[0.000, 0.000, 0.000], [0.500, 0.500, 0.500], [0.250, 0.250, 0.250], [0.750, 0.750, 0.750]], "e_form_ev_per_atom": -0.232, "m_tot_mub_per_atom": 1.413, "total_energy_ev_per_atom": -6.429}

(18)
{"formula": "HoGaAgRh", "functional": "GGA-PBE", "state": "relaxed", "lattice": [[0.000, 3.317, 3.317], [3.317, 0.000, 3.317], [3.317, 3.317, 0.000]], "species": ["Ho", "Ga", "Ag", "Rh"], "frac_coords": [[0.000, 0.000, 0.000], [0.500, 0.500, 0.500], [0.250, 0.250, 0.250], [0.750, 0.750, 0.750]], "e_form_ev_per_atom": -0.471, "m_tot_mub_per_atom": 0.000, "total_energy_ev_per_atom": -4.923}

(19)
{"formula": "HoGaAgRu", "functional": "GGA-PBE", "state": "relaxed", "lattice": [[0.000, 3.306, 3.306], [3.306, 0.000, 3.306], [3.306, 3.306, 0.000]], "species": ["Ho", "Ga", "Ag", "Ru"], "frac_coords": [[0.000, 0.000, 0.000], [0.500, 0.500, 0.500], [0.750, 0.750, 0.750], [0.250, 0.250, 0.250]], "e_form_ev_per_atom": -0.211, "m_tot_mub_per_atom": 0.000, "total_energy_ev_per_atom": -5.144}

(20)
{"formula": "Ho4GaAgRu2", "functional": "GGA-PBE", "state": "relaxed", "lattice": [[2.461, 1.421, 8.058], [-2.461, 1.421, 8.058], [0.000, -2.842, 8.058]], "species": ["Ho", "Ho", "Ho", "Ho", "Ga", "Ag", "Ru", "Ru"], "frac_coords": [[0.125, 0.125, 0.125], [0.375, 0.375, 0.375], [0.625, 0.625, 0.625], [0.875, 0.875, 0.875], [0.500, 0.500, 0.500], [0.000, 0.000, 0.000], [0.249, 0.249, 0.249], [0.751, 0.751, 0.751]], "e_form_ev_per_atom": -0.409, "m_tot_mub_per_atom": 0.000, "total_energy_ev_per_atom": -5.752}

(21)
{"formula": "Ho3GaAg3S8", "functional": "GGA-PBE", "state": "relaxed", "lattice": [[6.547, -3.927, 0.000], [6.547, 3.927, 0.000], [-4.261, 0.000, 6.395]], "species": ["Ho", "Ho", "Ho", "Ga", "Ag", "Ag", "Ag", "S", "S", "S", "S", "S", "S", "S", "S"], "frac_coords": [[0.000, 0.000, 0.000], [0.000, 0.500, 0.500], [0.500, 0.000, 0.500], [0.500, 0.500, 0.000], [0.000, 0.500, 0.000], [0.500, 0.000, 0.000], [0.500, 0.500, 0.500], [0.246, 0.246, 0.257], [0.269, 0.728, 0.228], [0.270, 0.270, 0.770], [0.272, 0.731, 0.772], [0.728, 0.269, 0.228], [0.730, 0.730, 0.230], [0.731, 0.272, 0.772], [0.754, 0.754, 0.743]], "m_tot_mub_per_atom": 0.000, "total_energy_ev_per_atom": -4.945}

(22)
{"formula": "HoScGaAg", "functional": "GGA-PBE", "state": "relaxed", "lattice": [[0.000, 3.505, 3.505], [3.505, 0.000, 3.505], [3.505, 3.505, 0.000]], "species": ["Ho", "Sc", "Ga", "Ag"], "frac_coords": [[0.000, 0.000, 0.000], [0.500, 0.500, 0.500], [0.750, 0.750, 0.750], [0.250, 0.250, 0.250]], "e_form_ev_per_atom": -0.454, "m_tot_mub_per_atom": 0.000, "total_energy_ev_per_atom": -4.651}

(23)
{"formula": "HoGaAg2Se4", "functional": "GGA-PBE", "state": "relaxed", "lattice": [[-3.837, 4.189, 5.698], [3.837, -4.189, 5.698], [3.837, 4.189, -5.698]], "species": ["Ho", "Ho", "Ga", "Ga", "Ag", "Ag", "Ag", "Ag", "Se", "Se", "Se", "Se", "Se", "Se", "Se", "Se"], "frac_coords": [[0.000, 0.000, 0.000], [0.500, 0.000, 0.500], [0.500, 0.000, 0.000], [0.500, 0.500, 0.500], [0.000, 0.000, 0.500], [0.000, 0.500, 0.000], [0.000, 0.500, 0.500], [0.500, 0.500, 0.000], [0.237, 0.238, 0.501], [0.237, 0.736, 0.999], [0.286, 0.749, 0.537], [0.288, 0.251, 0.037], [0.712, 0.749, 0.963], [0.714, 0.251, 0.463], [0.763, 0.264, 0.001], [0.763, 0.762, 0.499]], "m_tot_mub_per_atom": 0.000, "total_energy_ev_per_atom": -4.097}

(24)
{"formula": "SmHoGaAg", "functional": "GGA-PBE", "state": "relaxed", "lattice": [[0.000, 3.647, 3.647], [3.647, 0.000, 3.647], [3.647, 3.647, 0.000]], "species": ["Sm", "Ho", "Ga", "Ag"], "frac_coords": [[0.000, 0.000, 0.000], [0.500, 0.500, 0.500], [0.250, 0.250, 0.250], [0.750, 0.750, 0.750]], "e_form_ev_per_atom": -0.440, "m_tot_mub_per_atom": 0.000, "total_energy_ev_per_atom": -4.234}

(25)
{"formula": "Sm2HoGa2Ag2", "functional": "GGA-PBE", "state": "relaxed", "lattice": [[2.307, 1.332, 9.092], [-2.307, 1.332, 9.092], [0.000, -2.664, 9.092]], "species": ["Sm", "Sm", "Ho", "Ga", "Ga", "Ag", "Ag"], "frac_coords": [[0.125, 0.125, 0.125], [0.875, 0.875, 0.875], [0.000, 0.000, 0.000], [0.262, 0.262, 0.262], [0.738, 0.738, 0.738], [0.393, 0.393, 0.393], [0.607, 0.607, 0.607]], "e_form_ev_per_atom": -0.372, "m_tot_mub_per_atom": 0.000, "total_energy_ev_per_atom": -4.053}

(26)
{"formula": "HoGaAgSn", "functional": "GGA-PBE", "state": "relaxed", "lattice": [[0.000, 3.539, 3.539], [3.539, 0.000, 3.539], [3.539, 3.539, 0.000]], "species": ["Ho", "Ga", "Ag", "Sn"], "frac_coords": [[0.000, 0.000, 0.000], [0.750, 0.750, 0.750], [0.250, 0.250, 0.250], [0.500, 0.500, 0.500]], "e_form_ev_per_atom": -0.256, "m_tot_mub_per_atom": 0.000, "total_energy_ev_per_atom": -3.871}

(27)
{"formula": "TbHoGaAg", "functional": "GGA-PBE", "state": "relaxed", "lattice": [[0.000, 3.615, 3.615], [3.615, 0.000, 3.615], [3.615, 3.615, 0.000]], "species": ["Tb", "Ho", "Ga", "Ag"], "frac_coords": [[0.000, 0.000, 0.000], [0.500, 0.500, 0.500], [0.750, 0.750, 0.750], [0.250, 0.250, 0.250]], "e_form_ev_per_atom": -0.459, "m_tot_mub_per_atom": 0.000, "total_energy_ev_per_atom": -4.231}